# 1
# NbBH2 | the Alexandria database | PBEsol | optimized geometry
# DFT total energy	-5.9801	eV/atom
data_NbBH2
_cell_length_a 3.295
_cell_length_b 3.295
_cell_length_c 11.195
_cell_angle_alpha 90.00
_cell_angle_beta 90.00
_cell_angle_gamma 90.00
_space_group_name_H-M_alt 'I -4 2 d'
_space_group_IT_number 122
_space_group_name_Hall 'I -4 2bw'
loop_
_atom_site_label
_atom_site_type_symbol
_atom_site_fract_x
_atom_site_fract_y
_atom_site_fract_z
Nb1 Nb 0.000 0.000 0.000
B1 B 0.000 0.000 0.500
H1 H 0.183 0.750 0.625

=====

# 2
# NiB2HRh | the Alexandria database | PBEsol | optimized geometry
# DFT total energy	-5.7620	eV/atom
data_NiB2HRh
_cell_length_a 3.814
_cell_length_b 3.814
_cell_length_c 2.948
_cell_angle_alpha 90.00
_cell_angle_beta 90.00
_cell_angle_gamma 90.00
_space_group_name_H-M_alt 'P 4/m m m'
_space_group_IT_number 123
_space_group_name_Hall '-P 4 2'
loop_
_atom_site_label
_atom_site_type_symbol
_atom_site_fract_x
_atom_site_fract_y
_atom_site_fract_z
Ni1 Ni 0.000 0.000 0.000
B1 B 0.000 0.500 0.000
H1 H 0.000 0.000 0.500
Rh1 Rh 0.500 0.500 0.500

=====

# 3
# SrNiB2H | the Alexandria database | PBEsol | optimized geometry
# DFT total energy	-4.6795	eV/atom
data_SrNiB2H
_cell_length_a 3.672
_cell_length_b 3.672
_cell_length_c 5.813
_cell_angle_alpha 90.00
_cell_angle_beta 90.00
_cell_angle_gamma 90.00
_space_group_name_H-M_alt 'P 4/m m m'
_space_group_IT_number 123
_space_group_name_Hall '-P 4 2'
loop_
_atom_site_label
_atom_site_type_symbol
_atom_site_fract_x
_atom_site_fract_y
_atom_site_fract_z
Sr1 Sr 0.000 0.000 0.000
Ni1 Ni 0.000 0.000 0.500
B1 B 0.000 0.500 0.500
H1 H 0.500 0.500 0.000

=====

# 4
# RbB2P2HO9 | the Alexandria database | PBEsol | optimized geometry
# DFT total energy	-7.3898	eV/atom
data_RbB2P2HO9
_cell_length_a 6.789
_cell_length_b 12.222
_cell_length_c 8.821
_cell_angle_alpha 90.00
_cell_angle_beta 97.52
_cell_angle_gamma 90.00
_space_group_name_H-M_alt 'P 1 21/c 1'
_space_group_IT_number 14
loop_
_space_group_symop_operation_xyz
'x,y,z'
'-x,-y,-z'
'-x,y+1/2,-z+1/2'
'x,-y+1/2,z+1/2'
loop_
_atom_site_label
_atom_site_type_symbol
_atom_site_fract_x
_atom_site_fract_y
_atom_site_fract_z
Rb1 Rb 0.228 0.118 0.186
B1 B 0.116 0.634 0.964
B2 B 0.438 0.634 0.859
P1 P 0.204 0.034 0.684
P2 P 0.379 0.712 0.557
H1 H 0.286 0.534 0.419
O1 O 0.093 0.136 0.612
O2 O 0.115 0.572 0.112
O3 O 0.160 0.750 0.010
O4 O 0.181 0.028 0.855
O5 O 0.247 0.590 0.867
O6 O 0.408 0.599 0.494
O7 O 0.424 0.043 0.659
O8 O 0.442 0.716 0.732
O9 O 0.484 0.199 0.502

=====

# 5
# RbScBP2HO9 | the Alexandria database | PBEsol | optimized geometry
# DFT total energy	-7.6076	eV/atom
data_RbScBP2HO9
_cell_length_a 5.333
_cell_length_b 8.315
_cell_length_c 8.486
_cell_angle_alpha 87.89
_cell_angle_beta 86.75
_cell_angle_gamma 80.16
_space_group_name_H-M_alt 'P -1'
_space_group_IT_number 2
loop_
_space_group_symop_operation_xyz
'x,y,z'
'-x,-y,-z'
loop_
_atom_site_label
_atom_site_type_symbol
_atom_site_fract_x
_atom_site_fract_y
_atom_site_fract_z
Rb1 Rb 0.222 0.121 0.325
Sc1 Sc 0.214 0.205 0.808
B1 B 0.388 0.567 0.724
P1 P 0.289 0.805 0.943
P2 P 0.311 0.698 0.419
H1 H 0.109 0.529 0.883
O1 O 0.048 0.734 0.000
O2 O 0.066 0.793 0.355
O3 O 0.212 0.959 0.837
O4 O 0.216 0.464 0.801
O5 O 0.248 0.669 0.599
O6 O 0.377 0.528 0.341
O7 O 0.450 0.839 0.076
O8 O 0.464 0.674 0.839
O9 O 0.465 0.209 0.605

=====

# 6
# RbVBP2HO9 | the Alexandria database | PBEsol | optimized geometry
# DFT total energy	-7.5359	eV/atom
data_RbVBP2HO9
_cell_length_a 9.475
_cell_length_b 8.330
_cell_length_c 9.697
_cell_angle_alpha 90.00
_cell_angle_beta 102.83
_cell_angle_gamma 90.00
_space_group_name_H-M_alt 'P 1 21/c 1'
_space_group_IT_number 14
loop_
_space_group_symop_operation_xyz
'x,y,z'
'-x,-y,-z'
'-x,y+1/2,-z+1/2'
'x,-y+1/2,z+1/2'
loop_
_atom_site_label
_atom_site_type_symbol
_atom_site_fract_x
_atom_site_fract_y
_atom_site_fract_z
Rb1 Rb 0.188 0.097 0.070
V1 V 0.208 0.653 0.937
B1 B 0.334 0.059 0.696
P1 P 0.075 0.562 0.208
P2 P 0.420 0.740 0.723
H1 H 0.397 0.077 0.504
O1 O 0.074 0.515 0.809
O2 O 0.089 0.667 0.082
O3 O 0.104 0.654 0.349
O4 O 0.190 0.079 0.726
O5 O 0.312 0.047 0.539
O6 O 0.349 0.629 0.813
O7 O 0.359 0.717 0.564
O8 O 0.412 0.581 0.268
O9 O 0.413 0.207 0.745

=====

# 7
# BHPb2O4 | the Alexandria database | PBEsol | optimized geometry
# DFT total energy	-6.4599	eV/atom
data_BHPb2O4
_cell_length_a 12.893
_cell_length_b 5.649
_cell_length_c 7.336
_cell_angle_alpha 90.00
_cell_angle_beta 116.78
_cell_angle_gamma 90.00
_space_group_name_H-M_alt 'C 1 2/m 1'
_space_group_IT_number 12
loop_
_space_group_symop_operation_xyz
'x,y,z'
'-x,-y,-z'
'-x,y,-z'
'x,-y,z'
'x+1/2,y+1/2,z'
'-x+1/2,-y+1/2,-z'
'-x+1/2,y+1/2,-z'
'x+1/2,-y+1/2,z'
loop_
_atom_site_label
_atom_site_type_symbol
_atom_site_fract_x
_atom_site_fract_y
_atom_site_fract_z
B1 B 0.169 0.000 0.153
H1 H 0.034 0.000 0.873
Pb1 Pb 0.056 0.500 0.769
Pb2 Pb 0.157 0.000 0.579
O1 O 0.000 0.245 0.500
O2 O 0.091 0.000 0.232
O3 O 0.126 0.000 0.940
O4 O 0.214 0.500 0.719

=====

# 8
# Rb2B10H6O19 | the Alexandria database | PBEsol | optimized geometry
# DFT total energy	-7.3069	eV/atom
data_Rb2B10H6O19
_cell_length_a 7.581
_cell_length_b 9.199
_cell_length_c 11.901
_cell_angle_alpha 99.78
_cell_angle_beta 105.94
_cell_angle_gamma 91.12
_space_group_name_H-M_alt 'P -1'
_space_group_IT_number 2
loop_
_space_group_symop_operation_xyz
'x,y,z'
'-x,-y,-z'
loop_
_atom_site_label
_atom_site_type_symbol
_atom_site_fract_x
_atom_site_fract_y
_atom_site_fract_z
Rb1 Rb 0.015 0.454 0.246
Rb2 Rb 0.414 0.230 0.712
B1 B 0.078 0.837 0.440
B2 B 0.089 0.145 0.973
B3 B 0.090 0.838 0.234
B4 B 0.129 0.670 0.057
B5 B 0.273 0.021 0.406
B6 B 0.317 0.547 0.560
B7 B 0.323 0.453 0.055
B8 B 0.457 0.251 0.402
B9 B 0.488 0.748 0.975
B10 B 0.499 0.644 0.768
H1 H 0.070 0.810 0.608
H2 H 0.100 0.942 0.783
H3 H 0.123 0.368 0.497
H4 H 0.243 0.815 0.783
H5 H 0.247 0.117 0.134
H6 H 0.352 0.925 0.033
O1 O 0.001 0.740 0.979
O2 O 0.010 0.787 0.321
O3 O 0.018 0.768 0.517
O4 O 0.056 0.102 0.854
O5 O 0.121 0.845 0.738
O6 O 0.169 0.712 0.176
O7 O 0.199 0.445 0.476
O8 O 0.203 0.551 0.003
O9 O 0.204 0.960 0.485
O10 O 0.217 0.075 0.048
O11 O 0.236 0.956 0.290
O12 O 0.348 0.551 0.679
O13 O 0.371 0.455 0.173
O14 O 0.386 0.148 0.453
O15 O 0.386 0.351 0.978
O16 O 0.404 0.256 0.284
O17 O 0.408 0.650 0.518
O18 O 0.421 0.737 0.855
O19 O 0.436 0.847 0.057

=====

# 9
# SrB6H8O14 | the Alexandria database | PBEsol | optimized geometry
# DFT total energy	-6.9328	eV/atom
data_SrB6H8O14
_cell_length_a 9.901
_cell_length_b 8.136
_cell_length_c 14.178
_cell_angle_alpha 90.00
_cell_angle_beta 115.04
_cell_angle_gamma 90.00
_space_group_name_H-M_alt 'P 1 21/c 1'
_space_group_IT_number 14
loop_
_space_group_symop_operation_xyz
'x,y,z'
'-x,-y,-z'
'-x,y+1/2,-z+1/2'
'x,-y+1/2,z+1/2'
loop_
_atom_site_label
_atom_site_type_symbol
_atom_site_fract_x
_atom_site_fract_y
_atom_site_fract_z
Sr1 Sr 0.187 0.065 0.156
B1 B 0.025 0.119 0.753
B2 B 0.156 0.649 0.312
B3 B 0.222 0.046 0.692
B4 B 0.378 0.740 0.964
B5 B 0.420 0.660 0.313
B6 B 0.487 0.110 0.758
H1 H 0.089 0.732 0.057
H2 H 0.133 0.679 0.479
H3 H 0.158 0.037 0.538
H4 H 0.184 0.117 0.940
H5 H 0.242 0.141 0.396
H6 H 0.341 0.197 0.020
H7 H 0.350 0.628 0.079
H8 H 0.390 0.102 0.385
O1 O 0.060 0.516 0.318
O2 O 0.073 0.660 0.520
O3 O 0.075 0.724 0.738
O4 O 0.094 0.142 0.688
O5 O 0.188 0.544 0.094
O6 O 0.229 0.203 0.993
O7 O 0.231 0.715 0.417
O8 O 0.270 0.576 0.280
O9 O 0.281 0.076 0.354
O10 O 0.343 0.162 0.711
O11 O 0.397 0.700 0.744
O12 O 0.431 0.661 0.058
O13 O 0.474 0.041 0.193
O14 O 0.474 0.716 0.421

=====

Copy entry 6 word for word.
# RbVBP2HO9 | the Alexandria database | PBEsol | optimized geometry
# DFT total energy	-7.5359	eV/atom
data_RbVBP2HO9
_cell_length_a 9.475
_cell_length_b 8.330
_cell_length_c 9.697
_cell_angle_alpha 90.00
_cell_angle_beta 102.83
_cell_angle_gamma 90.00
_space_group_name_H-M_alt 'P 1 21/c 1'
_space_group_IT_number 14
loop_
_space_group_symop_operation_xyz
'x,y,z'
'-x,-y,-z'
'-x,y+1/2,-z+1/2'
'x,-y+1/2,z+1/2'
loop_
_atom_site_label
_atom_site_type_symbol
_atom_site_fract_x
_atom_site_fract_y
_atom_site_fract_z
Rb1 Rb 0.188 0.097 0.070
V1 V 0.208 0.653 0.937
B1 B 0.334 0.059 0.696
P1 P 0.075 0.562 0.208
P2 P 0.420 0.740 0.723
H1 H 0.397 0.077 0.504
O1 O 0.074 0.515 0.809
O2 O 0.089 0.667 0.082
O3 O 0.104 0.654 0.349
O4 O 0.190 0.079 0.726
O5 O 0.312 0.047 0.539
O6 O 0.349 0.629 0.813
O7 O 0.359 0.717 0.564
O8 O 0.412 0.581 0.268
O9 O 0.413 0.207 0.745